VASP calculation (PBE) on a relaxed ReIrPd crystal.

It has space group Cmcm (No. 63), with a = 3.9266 Å, b = 11.6966 Å, c = 3.9133 Å, α = 90.00°, β = 90.00° and γ = 90.00°. Symmetry generates all atoms from Re at (0.0000, 0.0732, 0.2500), Ir at (0.0000, 0.4241, 0.2500) and Pd at (0.0000, 0.2526, 0.7500).

Its total magnetic moment is 0.00 μB per cell. The value obtained for the energy above the most stable polymorph in this dataset is 0.035 eV/f.u. Its energy of formation from the pure elements is -0.030 eV per atom. The calculation puts the total energy at -8.86 eV per atom.